Entry from Alexandria: a relaxed structure of Y7Ir2Pd2 (GGA-PBE).

Cell lengths 6.6719, 6.6719, 6.9571 Å; angles 90.00, 90.00, 104.62 degrees
Last column: nearest neighbours and their distance in Å.
Element x y z (fractional)
Y1 0.0000 0.0000 0.0000  2 Ir 2.99
Y2 0.0000 0.5000 0.2589  2 Ir 2.74
Y3 0.0000 0.5000 0.7411  2 Ir 2.74
Y4 0.5000 0.0000 0.2589  2 Ir 2.74
Y5 0.5000 0.0000 0.7411  2 Ir 2.74
Y6 0.5000 0.5000 0.2540  2 Ir 2.89, 2 Pd 2.97
Y7 0.5000 0.5000 0.7460  2 Ir 2.89, 2 Pd 2.97
Ir1 0.2830 0.7170 0.0000  7 Y 2.74-2.99
Ir2 0.7170 0.2830 0.0000  7 Y 2.74-2.99
Pd1 0.2025 0.2025 0.5000  6 Y 2.97-3.15, 1 Pd 3.30
Pd2 0.7975 0.7975 0.5000  6 Y 2.97-3.15, 1 Pd 3.30

Output
As for the space group: Cmmm. The formation energy is -0.53 eV/atom.